A plane-wave DFT calculation with PBE was carried out for an optimized crystal structure of Nd2ThAs3.

## Properties
* SG: Immm
* electronic total energy: -6.652 eV per atom
* calculated density: 7.52 Mg/m³
* magnetization: 0.0 μB per cell
* formation enthalpy at 0 K: -1.501 eV/atom

Cell: 4.272 6.035 7.379 Å, 114.14 106.82 90.00°
Atoms (fractional coordinates):
As 0.164 0.664 0.828
As 0.500 0.000 0.500
As 0.836 0.336 0.172
Th 0.500 0.500 0.500
Nd 0.167 0.167 0.834
Nd 0.833 0.833 0.166